LaHoTe after structural relaxation, computed with PBE.

Computed properties:
Calculated total energy in Ry per atom: -0.3523
Space-group type: No. 156
ρ in g cm⁻³: 7.49
Crystal system: trigonal

Cell: 4.0151 5.2450 5.2450 Å, 120.00 90.00 90.00°
Last column: magnetic moment on the atom in μB.
Element x y z (fractional)
Te: 0.1846 0.3333 0.6667  0.01
La: 0.6570 0.6667 0.3333  0.14
Ho: 0.1583 0.0000 0.0000  0.23